# Cr2Cu2RhS6, relaxed, DFT GGA-PBE
data_Cr2Cu2RhS6
_chemical_formula_sum 'Cr4 Cu4 Rh2 S12'
_cell_length_a 6.067
_cell_length_b 10.231
_cell_length_c 6.961
_cell_angle_alpha 90.00
_cell_angle_beta 103.35
_cell_angle_gamma 90.00
_space_group_name_H-M_alt 'C 1 2/m 1'
_space_group_IT_number 12
_space_group_name_Hall '-C 2y'
loop_
_atom_site_label
_atom_site_fract_x
_atom_site_fract_y
_atom_site_fract_z
Cr1 0.000 0.148 0.000
Cu1 0.000 0.339 0.500
Rh1 0.000 0.500 0.000
S1 0.117 0.330 0.815
S2 0.122 0.000 0.795
# energy relative to the elements, uncorrected = -0.443 eV/atom
# volume = 19.11 Å³ per atom



# ScCrCu2Rh, relaxed, DFT GGA-PBE
data_ScCrCu2Rh
_chemical_formula_sum 'Sc1 Cr1 Cu2 Rh1'
_cell_length_a 4.706
_cell_length_b 4.706
_cell_length_c 4.537
_cell_angle_alpha 90.00
_cell_angle_beta 90.00
_cell_angle_gamma 90.00
_space_group_name_H-M_alt 'P 4/m m m'
_space_group_IT_number 123
_space_group_name_Hall '-P 4 2'
loop_
_atom_site_label
_atom_site_fract_x
_atom_site_fract_y
_atom_site_fract_z
Sc1 0.000 0.000 0.000
Cr1 0.500 0.500 0.500
Cu1 0.000 0.500 0.000
Rh1 0.000 0.000 0.500
# volume = 20.10 Å³ per atom
# energy relative to the elements = 1036 meV/atom



# CrCuRhSe4, relaxed, DFT GGA-PBE
data_CrCuRhSe4
_chemical_formula_sum 'Cr4 Cu4 Rh4 Se16'
_cell_length_a 7.214
_cell_length_b 7.486
_cell_length_c 10.375
_cell_angle_alpha 90.00
_cell_angle_beta 90.00
_cell_angle_gamma 90.00
_space_group_name_H-M_alt 'I m m a'
_space_group_IT_number 74
_space_group_name_Hall '-I 2b 2'
loop_
_atom_site_label
_atom_site_fract_x
_atom_site_fract_y
_atom_site_fract_z
Cr1 0.250 0.250 0.250
Cu1 0.000 0.250 0.629
Rh1 0.000 0.000 0.000
Se1 0.000 0.016 0.243
Se2 0.233 0.250 0.008
# energy relative to the elements, uncorrected = -0.432 eV/atom
# volume = 20.01 Å³ per atom



# CrCuTcRh, relaxed, DFT GGA-PBE
data_CrCuTcRh
_chemical_formula_sum 'Cr4 Cu4 Tc4 Rh4'
_cell_length_a 5.950
_cell_length_b 5.950
_cell_length_c 5.950
_cell_angle_alpha 90.00
_cell_angle_beta 90.00
_cell_angle_gamma 90.00
_space_group_name_H-M_alt 'F -4 3 m'
_space_group_IT_number 216
_space_group_name_Hall 'F -4 2 3'
loop_
_atom_site_label
_atom_site_fract_x
_atom_site_fract_y
_atom_site_fract_z
Cr1 0.000 0.000 0.000
Cu1 0.000 0.000 0.500
Tc1 0.250 0.250 0.750
Rh1 0.250 0.250 0.250
# volume = 13.17 Å³ per atom
# energy relative to the elements = 152 meV/atom



# CrCuTe2Rh, relaxed, DFT GGA-PBE
data_CrCuTe2Rh
_chemical_formula_sum 'Cr1 Cu1 Te2 Rh1'
_cell_length_a 5.155
_cell_length_b 5.155
_cell_length_c 4.688
_cell_angle_alpha 90.00
_cell_angle_beta 90.00
_cell_angle_gamma 90.00
_space_group_name_H-M_alt 'P 4/m m m'
_space_group_IT_number 123
_space_group_name_Hall '-P 4 2'
loop_
_atom_site_label
_atom_site_fract_x
_atom_site_fract_y
_atom_site_fract_z
Cr1 0.000 0.000 0.000
Cu1 0.500 0.500 0.000
Te1 0.000 0.500 0.500
Rh1 0.500 0.500 0.500
# energy relative to the elements, uncorrected = 0.609 eV/atom
# volume = 24.92 Å³ per atom



# TiCrCuRh, relaxed, DFT GGA-PBE
data_TiCrCuRh
_chemical_formula_sum 'Ti4 Cr4 Cu4 Rh4'
_cell_length_a 6.063
_cell_length_b 6.063
_cell_length_c 6.063
_cell_angle_alpha 90.00
_cell_angle_beta 90.00
_cell_angle_gamma 90.00
_space_group_name_H-M_alt 'F -4 3 m'
_space_group_IT_number 216
_space_group_name_Hall 'F -4 2 3'
loop_
_atom_site_label
_atom_site_fract_x
_atom_site_fract_y
_atom_site_fract_z
Ti1 0.000 0.000 0.000
Cr1 0.250 0.250 0.750
Cu1 0.000 0.000 0.500
Rh1 0.250 0.250 0.250
# volume = 13.93 Å³ per atom
# energy relative to the elements = -162 meV/atom



# ZnCrCuRh, relaxed, DFT GGA-PBE
data_ZnCrCuRh
_chemical_formula_sum 'Zn4 Cr4 Cu4 Rh4'
_cell_length_a 6.018
_cell_length_b 6.018
_cell_length_c 6.018
_cell_angle_alpha 90.00
_cell_angle_beta 90.00
_cell_angle_gamma 90.00
_space_group_name_H-M_alt 'F -4 3 m'
_space_group_IT_number 216
_space_group_name_Hall 'F -4 2 3'
loop_
_atom_site_label
_atom_site_fract_x
_atom_site_fract_y
_atom_site_fract_z
Zn1 0.000 0.000 0.000
Cr1 0.000 0.000 0.500
Cu1 0.250 0.250 0.750
Rh1 0.250 0.250 0.250
# volume = 13.62 Å³ per atom
# energy relative to the elements = 4 meV/atom



# Cr2CuRu2, relaxed, DFT GGA-PBE
data_Cr2CuRu2
_chemical_formula_sum 'Cr4 Cu2 Ru4'
_cell_length_a 7.063
_cell_length_b 7.063
_cell_length_c 2.709
_cell_angle_alpha 90.00
_cell_angle_beta 90.00
_cell_angle_gamma 90.00
_space_group_name_H-M_alt 'P 4/m b m'
_space_group_IT_number 127
_space_group_name_Hall '-P 4 2ab'
loop_
_atom_site_label
_atom_site_fract_x
_atom_site_fract_y
_atom_site_fract_z
Cr1 0.124 0.376 0.000
Cu1 0.000 0.000 0.000
Ru1 0.169 0.669 0.500
# volume = 13.51 Å³ per atom
# energy relative to the elements = 286 meV/atom